First-principles (meta-GGA SCAN) data for a crystal of Na13Ni11O24 relaxed with PBEsol, as listed in the Alexandria database.

Computed properties:
energy relative to the elements, uncorrected	-1.4647	eV per atom
size of the total moment	9.00	μB per cell
SG	P-1 (2)
raw total energy	-452.56	eV for the cell shown

Lattice parameters (Å, degrees): 8.001 8.041 8.962 106.61 103.87 112.44
Positions (direct):
Na (0.000, 0.000, 0.000)
Na (0.081, 0.713, 0.122)
Na (0.088, 0.211, 0.618)
Na (0.242, 0.121, 0.369)
Na (0.252, 0.615, 0.872)
Na (0.411, 0.043, 0.119)
Na (0.414, 0.539, 0.620)
Na (0.586, 0.461, 0.380)
Na (0.589, 0.957, 0.881)
Na (0.748, 0.385, 0.128)
Na (0.758, 0.879, 0.631)
Na (0.912, 0.789, 0.382)
Na (0.919, 0.287, 0.878)
Ni (0.000, 0.500, 0.500)
Ni (0.162, 0.416, 0.250)
Ni (0.174, 0.919, 0.749)
Ni (0.332, 0.834, 0.499)
Ni (0.336, 0.335, 0.001)
Ni (0.491, 0.748, 0.248)
Ni (0.509, 0.252, 0.752)
Ni (0.664, 0.665, 0.999)
Ni (0.668, 0.166, 0.501)
Ni (0.826, 0.081, 0.251)
Ni (0.838, 0.584, 0.750)
O (0.066, 0.594, 0.336)
O (0.099, 0.115, 0.825)
O (0.103, 0.797, 0.893)
O (0.105, 0.328, 0.418)
O (0.222, 0.508, 0.086)
O (0.239, 0.011, 0.584)
O (0.264, 0.739, 0.661)
O (0.285, 0.264, 0.181)
O (0.398, 0.930, 0.336)
O (0.418, 0.434, 0.840)
O (0.422, 0.653, 0.408)
O (0.447, 0.159, 0.914)
O (0.553, 0.841, 0.086)
O (0.578, 0.347, 0.592)
O (0.582, 0.566, 0.160)
O (0.602, 0.070, 0.664)
O (0.715, 0.736, 0.819)
O (0.736, 0.261, 0.339)
O (0.761, 0.989, 0.416)
O (0.778, 0.492, 0.914)
O (0.895, 0.672, 0.582)
O (0.897, 0.203, 0.107)
O (0.901, 0.885, 0.175)
O (0.934, 0.406, 0.664)